[1]
Compound: Li2UTa3N6
Source: Alexandria via LeMat-Bulk
Functional: PBE
Structure: relaxed

- V: 131.7 Å³ per cell
- Total magnetization: 0.00 μB/f.u.

a = 5.3745 Å, b = 5.3745 Å, c = 5.5487 Å
α = 98.84°, β = 98.84°, γ = 120.24°
Last column: nearest neighbours and their distance in Å.
Fractional positions:
Li  0.1667  0.8333  0.0000  6 N 2.23-2.32
Li  0.8333  0.1667  0.0000  6 N 2.23-2.32
U  0.5000  0.5000  0.0000  6 N 2.25-2.26
Ta  0.0000  0.0000  0.5000  6 N 2.16-2.21
Ta  0.3190  0.6810  0.5000  6 N 2.12-2.25
Ta  0.6810  0.3190  0.5000  6 N 2.12-2.25
N  0.0809  0.4136  0.7420  3 Ta 2.12-2.21, 2 Li 2.23-2.26, 1 U 2.26
N  0.2633  0.2633  0.2726  3 Ta 2.16-2.25, 1 U 2.25, 2 Li 2.32
N  0.4136  0.0809  0.7420  3 Ta 2.12-2.21, 2 Li 2.23-2.26, 1 U 2.26
N  0.5864  0.9191  0.2580  3 Ta 2.12-2.21, 2 Li 2.23-2.26, 1 U 2.26
N  0.7367  0.7367  0.7274  3 Ta 2.16-2.25, 1 U 2.25, 2 Li 2.32
N  0.9191  0.5864  0.2580  3 Ta 2.12-2.21, 2 Li 2.23-2.26, 1 U 2.26

[2]
Compound: Li3Ta2WN6
Source: Alexandria via LeMat-Bulk
Functional: PBE
Structure: relaxed

- V: 124.0 Å³ per cell
- Total magnetization: 0.00 μB/f.u.

a = 5.2870 Å, b = 5.2870 Å, c = 5.4184 Å
α = 99.36°, β = 99.36°, γ = 119.99°
Last column: nearest neighbours and their distance in Å.
Fractional positions:
Li  0.0000  0.0000  0.0000  6 N 2.25-2.28
Li  0.3348  0.6652  0.0000  6 N 2.24-2.29
Li  0.6652  0.3348  0.0000  6 N 2.24-2.29
Ta  0.1668  0.8332  0.5000  6 N 2.11
Ta  0.8332  0.1668  0.5000  6 N 2.11
W  0.5000  0.5000  0.5000  6 N 2.08
N  0.0967  0.4252  0.2760  1 W 2.08, 2 Ta 2.11, 3 Li 2.25-2.29
N  0.2463  0.2463  0.7239  1 W 2.08, 2 Ta 2.11, 3 Li 2.24-2.28
N  0.4252  0.0967  0.2760  1 W 2.08, 2 Ta 2.11, 3 Li 2.25-2.29
N  0.5748  0.9033  0.7240  1 W 2.08, 2 Ta 2.11, 3 Li 2.25-2.29
N  0.7537  0.7537  0.2761  1 W 2.08, 2 Ta 2.11, 3 Li 2.24-2.28
N  0.9033  0.5748  0.7240  1 W 2.08, 2 Ta 2.11, 3 Li 2.25-2.29

[3]
Compound: Li2Ta2WN6
Source: Alexandria via LeMat-Bulk
Functional: PBE
Structure: relaxed

- V: 126.7 Å³ per cell
- Total magnetization: 0.00 μB/f.u.

a = 5.3199 Å, b = 5.3199 Å, c = 5.4397 Å
α = 99.10°, β = 99.10°, γ = 119.86°
Last column: nearest neighbours and their distance in Å.
Fractional positions:
Li  0.1663  0.8337  0.0000  6 N 2.27-2.34
Li  0.8337  0.1663  0.0000  6 N 2.27-2.34
Ta  0.3339  0.6661  0.5000  6 N 2.08-2.11
Ta  0.6661  0.3339  0.5000  6 N 2.08-2.11
W  0.0000  0.0000  0.5000  6 N 2.02-2.07
N  0.0629  0.3955  0.7118  1 W 2.07, 2 Ta 2.08-2.11, 1 Li 2.27
N  0.2531  0.2531  0.2903  1 W 2.02, 2 Ta 2.10
N  0.3955  0.0629  0.7118  1 W 2.07, 2 Ta 2.08-2.11, 1 Li 2.27
N  0.6045  0.9371  0.2882  1 W 2.07, 2 Ta 2.08-2.11, 1 Li 2.27
N  0.7469  0.7469  0.7097  1 W 2.02, 2 Ta 2.10
N  0.9371  0.6045  0.2882  1 W 2.07, 2 Ta 2.08-2.11, 1 Li 2.27

[4]
Compound: LiYTa4N8
Source: Alexandria via LeMat-Bulk
Functional: PBE
Structure: relaxed

- V: 180.1 Å³ per cell
- Total magnetization: 0.00 μB/f.u.

a = 6.3518 Å, b = 6.3518 Å, c = 6.3518 Å
α = 59.74°, β = 59.74°, γ = 59.74°
Last column: nearest neighbours and their distance in Å.
Fractional positions:
Li  0.0000  0.0000  0.0000  6 N 2.19-2.34
Y  0.6211  0.6211  0.6211  4 N 2.19-2.23
Ta  0.3785  0.3785  0.3785  4 N 1.95-2.11
Ta  0.5157  0.9983  0.9983  4 N 1.98-2.20
Ta  0.9983  0.5157  0.9983  4 N 1.98-2.20
Ta  0.9983  0.9983  0.5157  4 N 1.98-2.20
N  0.1968  0.7581  0.7581  2 Ta 1.98, 1 Li 2.19, 1 Y 2.19
N  0.2430  0.2430  0.2430  4 Ta 2.11-2.20
N  0.2604  0.2604  0.7558  1 Ta 1.95
N  0.2604  0.7558  0.2604  1 Ta 1.95
N  0.7558  0.2604  0.2604  1 Ta 1.95
N  0.7581  0.1968  0.7581  2 Ta 1.98, 1 Li 2.19, 1 Y 2.19
N  0.7581  0.7581  0.1968  2 Ta 1.98, 1 Li 2.19, 1 Y 2.19
N  0.7639  0.7639  0.7639  3 Ta 2.10, 1 Y 2.23

[5]
Compound: Li2YTa3N6
Source: Alexandria via LeMat-Bulk
Functional: PBE
Structure: relaxed

- V: 135.2 Å³ per cell
- Total magnetization: 0.00 μB/f.u.

a = 5.3858 Å, b = 5.3858 Å, c = 5.6696 Å
α = 98.94°, β = 98.94°, γ = 120.08°
Last column: nearest neighbours and their distance in Å.
Fractional positions:
Li  0.1658  0.8342  0.0000  6 N 2.32-2.34
Li  0.8342  0.1658  0.0000  6 N 2.32-2.34
Y  0.5000  0.5000  0.0000  6 N 2.35
Ta  0.0000  0.0000  0.5000  6 N 2.13-2.17
Ta  0.3286  0.6714  0.5000  6 N 2.12-2.19
Ta  0.6714  0.3286  0.5000  6 N 2.12-2.19
N  0.0714  0.4075  0.7225  3 Ta 2.12-2.17, 2 Li 2.32-2.34, 1 Y 2.35
N  0.2589  0.2589  0.2813  3 Ta 2.13-2.19, 2 Li 2.34, 1 Y 2.35
N  0.4075  0.0714  0.7225  3 Ta 2.12-2.17, 2 Li 2.32-2.34, 1 Y 2.35
N  0.5925  0.9286  0.2775  3 Ta 2.12-2.17, 2 Li 2.32-2.34, 1 Y 2.35
N  0.7411  0.7411  0.7187  3 Ta 2.13-2.19, 2 Li 2.34, 1 Y 2.35
N  0.9286  0.5925  0.2775  3 Ta 2.12-2.17, 2 Li 2.32-2.34, 1 Y 2.35

[6]
Compound: LiYTaN3
Source: Alexandria via LeMat-Bulk
Functional: PBE
Structure: relaxed

- V: 140.8 Å³ per cell
- Total magnetization: 0.00 μB/f.u.

a = 6.7275 Å, b = 3.1815 Å, c = 6.7745 Å
α = 90.00°, β = 103.76°, γ = 90.00°
Last column: nearest neighbours and their distance in Å.
Fractional positions:
Li  0.0771  0.2500  0.0863  4 N 1.86-1.96
Li  0.9229  0.7500  0.9137  4 N 1.86-1.96
Y  0.2069  0.2500  0.7345  5 N 2.39-2.49
Y  0.7931  0.7500  0.2655  5 N 2.39-2.49
Ta  0.3258  0.7500  0.3182  5 N 1.98-2.19
Ta  0.6742  0.2500  0.6818  5 N 1.98-2.19
N  0.1340  0.2500  0.3681  1 Li 1.86
N  0.2187  0.7500  0.0193  3 Li 1.95-1.96, 1 Ta 1.98
N  0.4472  0.7500  0.6644  3 Ta 2.19-2.29, 2 Y 2.39
N  0.5528  0.2500  0.3356  3 Ta 2.19-2.29, 2 Y 2.39
N  0.7813  0.2500  0.9807  3 Li 1.95-1.96, 1 Ta 1.98
N  0.8660  0.7500  0.6319  1 Li 1.86

[7]
Compound: LiTaZnN3
Source: Alexandria via LeMat-Bulk
Functional: PBE
Structure: relaxed

- V: 125.4 Å³ per cell
- Total magnetization: 0.00 μB/f.u.

a = 5.3962 Å, b = 3.1177 Å, c = 7.4669 Å
α = 90.00°, β = 93.34°, γ = 90.00°
Last column: nearest neighbours and their distance in Å.
Fractional positions:
Li  0.0892  0.2500  0.1578  6 N 2.21-2.30
Li  0.9108  0.7500  0.8422  6 N 2.21-2.30
Ta  0.3905  0.2500  0.8206  5 N 1.97-2.13
Ta  0.6095  0.7500  0.1794  5 N 1.97-2.13
Zn  0.2394  0.7500  0.4854  2 N 2.02-2.17
Zn  0.7606  0.2500  0.5146  2 N 2.02-2.17
N  0.0809  0.2500  0.6681  1 Ta 1.97, 1 Zn 2.02
N  0.2804  0.7500  0.9862  3 Ta 2.10-2.22, 3 Li 2.21-2.30
N  0.4405  0.2500  0.3244  2 Ta 2.13, 3 Zn 2.17-2.28, 1 Li 2.21
N  0.5595  0.7500  0.6756  2 Ta 2.13, 3 Zn 2.17-2.28, 1 Li 2.21
N  0.7196  0.2500  0.0138  3 Ta 2.10-2.22, 3 Li 2.21-2.30
N  0.9191  0.7500  0.3319  1 Ta 1.97, 1 Zn 2.02

[8]
Compound: Li2ZrTa3N6
Source: Alexandria via LeMat-Bulk
Functional: PBE
Structure: relaxed

- V: 128.3 Å³ per cell
- Total magnetization: 0.00 μB/f.u.

a = 5.3538 Å, b = 5.3538 Å, c = 5.4585 Å
α = 99.22°, β = 99.22°, γ = 120.00°
Last column: nearest neighbours and their distance in Å.
Fractional positions:
Li  0.1654  0.8346  0.0000  6 N 2.24-2.27
Li  0.8346  0.1654  0.0000  6 N 2.24-2.27
Zr  0.5000  0.5000  0.0000  6 N 2.25-2.26
Ta  0.0000  0.0000  0.5000  6 N 2.14-2.18
Ta  0.3245  0.6755  0.5000  6 N 2.11-2.20
Ta  0.6755  0.3245  0.5000  6 N 2.11-2.20
N  0.0796  0.4148  0.7382  3 Ta 2.11-2.18, 2 Li 2.24, 1 Zr 2.25
N  0.2590  0.2590  0.2716  3 Ta 2.14-2.20, 1 Zr 2.26, 2 Li 2.27
N  0.4148  0.0796  0.7382  3 Ta 2.11-2.18, 2 Li 2.24, 1 Zr 2.25
N  0.5852  0.9204  0.2618  3 Ta 2.11-2.18, 2 Li 2.24, 1 Zr 2.25
N  0.7410  0.7410  0.7284  3 Ta 2.14-2.20, 1 Zr 2.26, 2 Li 2.27
N  0.9204  0.5852  0.2618  3 Ta 2.11-2.18, 2 Li 2.24, 1 Zr 2.25

[9]
Compound: LiZrTaN3
Source: Alexandria via LeMat-Bulk
Functional: PBE
Structure: relaxed

- V: 129.4 Å³ per cell
- Total magnetization: 0.00 μB/f.u.

a = 6.4464 Å, b = 3.0979 Å, c = 6.6353 Å
α = 90.00°, β = 102.44°, γ = 90.00°
Last column: nearest neighbours and their distance in Å.
Fractional positions:
Li  0.0788  0.2500  0.0817  4 N 1.86-1.94, 2 Li 2.03
Li  0.9212  0.7500  0.9183  4 N 1.86-1.94, 2 Li 2.03
Zr  0.1925  0.2500  0.7156  7 N 2.26-2.47
Zr  0.8075  0.7500  0.2844  7 N 2.26-2.47
Ta  0.3367  0.7500  0.3083  5 N 1.99-2.21
Ta  0.6633  0.2500  0.6917  5 N 1.99-2.21
N  0.1133  0.2500  0.3666  1 Li 1.86
N  0.2255  0.7500  0.0039  3 Li 1.92-1.94, 1 Ta 1.99
N  0.4307  0.7500  0.6616  3 Ta 2.13-2.29, 2 Zr 2.26
N  0.5693  0.2500  0.3384  3 Ta 2.13-2.29, 2 Zr 2.26
N  0.7745  0.2500  0.9961  3 Li 1.92-1.94, 1 Ta 1.99
N  0.8867  0.7500  0.6334  1 Li 1.86

[10]
Compound: LiZr2Ta3N6
Source: Alexandria via LeMat-Bulk
Functional: PBE
Structure: relaxed

- V: 133.2 Å³ per cell
- Total magnetization: 0.00 μB/f.u.

a = 7.0870 Å, b = 7.0870 Å, c = 6.3001 Å
α = 103.60°, β = 103.60°, γ = 25.71°
Last column: nearest neighbours and their distance in Å.
Fractional positions:
Li  0.0000  0.0000  0.0000  6 N 2.22-2.29
Zr  0.3431  0.3431  0.6731  6 N 2.15-2.35
Zr  0.6569  0.6569  0.3269  6 N 2.15-2.35
Ta  0.0000  0.0000  0.5000  6 N 2.24-2.26
Ta  0.3444  0.3444  0.1765  5 N 2.04-2.19
Ta  0.6556  0.6556  0.8235  5 N 2.04-2.19
N  0.1682  0.1682  0.5938  3 Ta 2.18-2.26, 3 Zr 2.28-2.35
N  0.1706  0.1706  0.0704  3 Ta 2.19-2.33, 1 Li 2.29, 2 Zr 2.30
N  0.4963  0.4963  0.2450  3 Ta 2.04-2.24, 1 Zr 2.15, 2 Li 2.22
N  0.5037  0.5037  0.7550  3 Ta 2.04-2.24, 1 Zr 2.15, 2 Li 2.22
N  0.8294  0.8294  0.9296  3 Ta 2.19-2.33, 1 Li 2.29, 2 Zr 2.30
N  0.8318  0.8318  0.4062  3 Ta 2.18-2.26, 3 Zr 2.28-2.35

| no. | uncorrected formation energy (meV per atom) | DFT total energy (Ha/atom) |
| --- | --- | --- |
| 1 | -1206.7 | -0.35251 |
| 2 | -846.4 | -0.31393 |
| 3 | -728.3 | -0.32891 |
| 4 | -1021.0 | -0.35879 |
| 5 | -1190.3 | -0.33713 |
| 6 | -1104.3 | -0.31747 |
| 7 | -413.2 | -0.26028 |
| 8 | -1202.9 | -0.34397 |
| 9 | -1020.3 | -0.32715 |
| 10 | -1274.9 | -0.36694 |